Record 1
LaPuBi2: optimized geometry, PBE.

## Properties
energy	-29.3	eV/cell
ΔE_f	-0.56	eV/atom
magnetization	5.828	μB per cell
energy above the lowest structure with this stoichiometry	0.117	eV per atom

```
data_LaPuBi2
_space_group_name_H-M_alt 'P 4/m m m'
_space_group_IT_number 123
_space_group_name_Hall '-P 4 2'
_cell_length_a 3.844
_cell_length_b 3.844
_cell_length_c 8.391
_cell_angle_alpha 90.00
_cell_angle_beta 90.00
_cell_angle_gamma 90.00
loop_
_atom_site_label
_atom_site_type_symbol
_atom_site_fract_x
_atom_site_fract_y
_atom_site_fract_z
La1 La 0.000 0.000 0.000
Pu1 Pu 0.000 0.000 0.500
Bi1 Bi 0.500 0.500 0.259
```

---

Record 2
LaPuBi2: optimized geometry, PBE.

## Properties
energy	-116.8	eV/cell
ΔE_f	-0.55	eV/atom
magnetization	23.204	μB per cell
energy above the lowest structure with this stoichiometry	0.130	eV per atom

```
data_LaPuBi2
_space_group_name_H-M_alt 'F m -3 m'
_space_group_IT_number 225
_space_group_name_Hall '-F 4 2 3'
_cell_length_a 7.950
_cell_length_b 7.950
_cell_length_c 7.950
_cell_angle_alpha 90.00
_cell_angle_beta 90.00
_cell_angle_gamma 90.00
loop_
_atom_site_label
_atom_site_type_symbol
_atom_site_fract_x
_atom_site_fract_y
_atom_site_fract_z
La1 La 0.000 0.000 0.000
Pu1 Pu 0.000 0.000 0.500
Bi1 Bi 0.250 0.250 0.250
```